Entry 1:
In3IN: optimized geometry, PBE.

abc: 6.3723 6.3723 6.3723
angles: 90.00 90.00 90.00
Space group Pm-3m (No. 221)
One atom of each set of equivalent atoms:
In1 0.0000 0.0000 0.5000
I1 0.0000 0.0000 0.0000
N1 0.5000 0.5000 0.5000

## Properties
calculated volume	258.8	Å³/cell
crystal system	cubic
energy relative to the elements, uncorrected	1.61	eV per atom

Entry 2:
Zr2ZnCrN: optimized geometry, PBE.

abc: 4.5673 4.5673 3.7027
angles: 90.00 90.00 90.00
Space group P4/mmm (No. 123)
One atom of each set of equivalent atoms:
Zr1 0.0000 0.5000 0.0000
Zn1 0.0000 0.0000 0.5000
Cr1 0.5000 0.5000 0.5000
N1 0.5000 0.5000 0.0000

## Properties
calculated volume	77.2	Å³/cell
crystal system	tetragonal
energy relative to the elements, uncorrected	-0.68	eV per atom

Entry 3:
MnRu2Pb: optimized geometry, PBE.

abc: 2.9916 2.9916 25.8762
angles: 90.00 90.00 120.00
Space group R-3m (No. 166, hexagonal axes)
One atom of each set of equivalent atoms:
Mn1 0.0000 0.0000 0.0000
Ru1 0.0000 0.0000 0.2605
Pb1 0.0000 0.0000 0.5000

## Properties
calculated volume	200.6	Å³/cell
formation energy	548	meV/atom
crystal system	trigonal

Entry 4:
LaPm2Y5Th: optimized geometry, PBE.

abc: 8.7501 8.7501 15.6302
angles: 90.00 90.00 90.00
Space group I4/mcm (No. 140)
One atom of each set of equivalent atoms:
La1 0.0000 0.5000 0.2500
Pm1 0.1163 0.3837 0.0000
Y1 0.0000 0.0000 0.0000
Y2 0.2099 0.2901 0.3630
Th1 0.0000 0.0000 0.2500

## Properties
calculated volume	1196.7	Å³/cell
formation energy	268	meV/atom
crystal system	tetragonal

Entry 5:
Ac2Si3IrRh12: optimized geometry, PBE.

abc: 7.7769 7.7769 20.0089
angles: 90.00 90.00 120.00
Space group R-3m (No. 166, hexagonal axes)
One atom of each set of equivalent atoms:
Ac1 0.0000 0.0000 0.1213
Si1 0.0000 0.5000 0.0000
Ir1 0.0000 0.0000 0.5000
Rh1 0.0015 0.5008 0.8822
Rh2 0.0102 0.5051 0.3700

## Properties
calculated volume	1048.0	Å³/cell
crystal system	trigonal
energy relative to the elements, uncorrected	-0.02	eV per atom

Entry 6:
KCrNiSe3: optimized geometry, PBE.

abc: 8.5589 3.7126 9.5204
angles: 90.00 115.18 90.00
Space group P2_1/m (No. 11)
One atom of each set of equivalent atoms:
K1 0.2346 0.2500 0.2554
Cr1 0.3117 0.7500 0.8376
Ni1 0.0855 0.2500 0.6008
Se1 0.1213 0.2500 0.8581
Se2 0.2268 0.7500 0.5513
Se3 0.4725 0.7500 0.1345

## Properties
calculated volume	273.8	Å³/cell
crystal system	monoclinic
energy relative to the elements, uncorrected	-0.65	eV per atom

Entry 7:
ZrTlAu3: optimized geometry, PBE.

abc: 5.3413 5.3413 5.3413
angles: 90.00 90.00 90.00
Space group Pm-3m (No. 221)
One atom of each set of equivalent atoms:
Zr1 0.0000 0.0000 0.0000
Tl1 0.5000 0.5000 0.5000
Au1 0.0000 0.0000 0.5000

## Properties
calculated volume	152.4	Å³/cell
formation energy	382	meV/atom
crystal system	cubic

Entry 8:
Sm2TmPa: optimized geometry, PBE.

abc: 3.3533 3.3533 36.9173
angles: 90.00 90.00 120.00
Space group R-3m (No. 166, hexagonal axes)
One atom of each set of equivalent atoms:
Sm1 0.0000 0.0000 0.0872
Tm1 0.0000 0.0000 0.5000
Pa1 0.0000 0.0000 0.0000

## Properties
calculated volume	359.5	Å³/cell
formation energy	292	meV/atom
crystal system	trigonal

Entry 9:
BeP2Se: optimized geometry, PBE.

abc: 20.1221 3.2233 3.2560
angles: 90.00 95.64 90.00
Space group C2/m (No. 12)
One atom of each set of equivalent atoms:
Be1 0.0000 0.0000 0.0000
P1 0.2157 0.5000 0.0381
Se1 0.0000 0.5000 0.5000

## Properties
calculated volume	210.2	Å³/cell
crystal system	monoclinic
energy relative to the elements, uncorrected	0.21	eV per atom

Entry 10:
BeVAu: optimized geometry, PBE.

abc: 2.8041 4.5782 6.8271
angles: 71.91 88.16 72.89
Space group P-1 (No. 2)
One atom of each set of equivalent atoms:
Be1 0.0381 0.4229 0.2934
V1 0.3056 0.7651 0.9739
Au1 0.3402 0.8329 0.3673

## Properties
calculated volume	79.5	Å³/cell
formation energy	-21	meV/atom
crystal system	triclinic

Entry 11:
ScCuHIr2: optimized geometry, PBE.

abc: 3.9444 3.9444 4.0229
angles: 90.00 90.00 90.00
Space group P4/mmm (No. 123)
One atom of each set of equivalent atoms:
Sc1 0.0000 0.0000 0.0000
Cu1 0.5000 0.5000 0.0000
H1 0.0000 0.0000 0.5000
Ir1 0.0000 0.5000 0.5000

## Properties
calculated volume	62.6	Å³/cell
calculated total energy	-6.660	eV/atom
crystal system	tetragonal

Entry 12:
TaTlZn2: optimized geometry, PBE.

abc: 6.6542 6.6542 6.6542
angles: 90.00 90.00 90.00
Space group Fm-3m (No. 225)
One atom of each set of equivalent atoms:
Ta1 0.0000 0.0000 0.0000
Tl1 0.0000 0.0000 0.5000
Zn1 0.2500 0.2500 0.2500

## Properties
calculated volume	294.6	Å³/cell
formation energy	665	meV/atom
crystal system	cubic

Entry 13:
Na2Ca5Br12: optimized geometry, PBE.

abc: 15.4447 8.2367 10.3799
angles: 90.00 110.19 90.00
Space group C2/m (No. 12)
One atom of each set of equivalent atoms:
Na1 0.0000 0.2416 0.0000
Ca1 0.0000 0.0000 0.5000
Ca2 0.2023 0.5000 0.3793
Ca3 0.2277 0.5000 0.9652
Br1 0.0301 0.5000 0.8166
Br2 0.0739 0.0000 0.8281
Br3 0.1357 0.2314 0.5007
Br4 0.1962 0.2633 0.1521

## Properties
calculated volume	1239.3	Å³/cell
crystal system	monoclinic
energy relative to the elements, uncorrected	-1.87	eV per atom

Entry 14:
Zr2BiO: optimized geometry, PBE.

abc: 3.6025 3.6025 20.2849
angles: 90.00 90.00 120.00
Space group R-3m (No. 166, hexagonal axes)
One atom of each set of equivalent atoms:
Zr1 0.0000 0.0000 0.2194
Bi1 0.0000 0.0000 0.0000
O1 0.0000 0.0000 0.5000

## Properties
calculated volume	228.0	Å³/cell
crystal system	trigonal
energy relative to the elements, uncorrected	-1.16	eV per atom

Entry 15:
SiNiP: optimized geometry, PBE.

abc: 3.6202 3.6202 3.9592
angles: 90.00 90.00 120.00
Space group P3m1 (No. 156)
One atom of each set of equivalent atoms:
Si1 0.0000 0.0000 0.0000
Ni1 0.6667 0.3333 0.7395
P1 0.3333 0.6667 0.5439

## Properties
calculated volume	44.9	Å³/cell
crystal system	trigonal
energy relative to the elements, uncorrected	0.04	eV per atom